[1]
This record from the Alexandria database describes an optimized crystal structure of Bi2AsO. The functional is GGA-PBEsol. Values from VASP.

Calculated values
VASP energy   -79.06 eV for the cell shown
Formation energy from raw total energies   -20.2 kJ per mole of atoms
Space group   I-42d
Offset from the most stable computed form   0.0 meV/atom
Magnetization   0.000 μB per atom

The structure in Quantum ESPRESSO input format:
```
&SYSTEM
  ibrav = 0, nat = 16, ntyp = 3
/
ATOMIC_SPECIES
Bi 208.98 Bi.upf
As 74.92 As.upf
O 16.00 O.upf
CELL_PARAMETERS angstrom
6.006 0.000 0.000
0.000 6.006 0.000
0.000 0.000 11.899
ATOMIC_POSITIONS crystal
Bi 0.178 0.250 0.125
Bi 0.250 0.678 0.375
Bi 0.250 0.822 0.875
Bi 0.322 0.250 0.625
Bi 0.678 0.750 0.625
Bi 0.750 0.178 0.875
Bi 0.750 0.322 0.375
Bi 0.822 0.750 0.125
As 0.000 0.000 0.500
As 0.000 0.500 0.750
As 0.500 0.000 0.250
As 0.500 0.500 0.000
O 0.000 0.000 0.000
O 0.000 0.500 0.250
O 0.500 0.000 0.750
O 0.500 0.500 0.500
```

[2]
This record from the Alexandria database describes an optimized crystal structure of BiAsO4. The functional is GGA-PBEsol. Values from VASP.

Calculated values
VASP energy   -153.24 eV for the cell shown
Formation energy from raw total energies   -127.4 kJ per mole of atoms
Space group   P2_1/c
Magnetization   0.000 μB per atom

The structure in Quantum ESPRESSO input format:
```
&SYSTEM
  ibrav = 0, nat = 24, ntyp = 3
/
ATOMIC_SPECIES
Bi 208.98 Bi.upf
As 74.92 As.upf
O 16.00 O.upf
CELL_PARAMETERS angstrom
6.745 0.000 0.000
0.000 7.162 0.000
-4.947 0.000 6.641
ATOMIC_POSITIONS crystal
Bi 0.197 0.138 0.280
Bi 0.197 0.362 0.780
Bi 0.803 0.638 0.220
Bi 0.803 0.862 0.720
As 0.311 0.662 0.200
As 0.311 0.838 0.700
As 0.689 0.162 0.300
As 0.689 0.338 0.800
O 0.125 0.644 0.607
O 0.125 0.856 0.107
O 0.161 0.002 0.737
O 0.161 0.498 0.237
O 0.361 0.604 0.023
O 0.361 0.896 0.523
O 0.385 0.208 0.108
O 0.385 0.292 0.608
O 0.615 0.708 0.392
O 0.615 0.792 0.892
O 0.639 0.104 0.477
O 0.639 0.396 0.977
O 0.839 0.502 0.763
O 0.839 0.998 0.263
O 0.875 0.144 0.893
O 0.875 0.356 0.393
```

[3]
This record from the Alexandria database describes an optimized crystal structure of Bi2AsO. The functional is GGA-PBEsol. Values from VASP.

Calculated values
VASP energy   -75.69 eV for the cell shown
Formation energy from raw total energies   0.1 kJ per mole of atoms
Space group   Fm-3m
Offset from the most stable computed form   211.0 meV/atom
Magnetization   0.000 μB per atom

The structure in Quantum ESPRESSO input format:
```
&SYSTEM
  ibrav = 0, nat = 16, ntyp = 3
/
ATOMIC_SPECIES
Bi 208.98 Bi.upf
As 74.92 As.upf
O 16.00 O.upf
CELL_PARAMETERS angstrom
6.837 0.000 0.000
0.000 6.837 0.000
0.000 0.000 6.837
ATOMIC_POSITIONS crystal
Bi 0.250 0.250 0.250
Bi 0.250 0.250 0.750
Bi 0.250 0.750 0.250
Bi 0.250 0.750 0.750
Bi 0.750 0.250 0.250
Bi 0.750 0.250 0.750
Bi 0.750 0.750 0.250
Bi 0.750 0.750 0.750
As 0.000 0.000 0.000
As 0.000 0.500 0.500
As 0.500 0.000 0.500
As 0.500 0.500 0.000
O 0.000 0.000 0.500
O 0.000 0.500 0.000
O 0.500 0.000 0.000
O 0.500 0.500 0.500
```

[4]
This record from the Alexandria database describes an optimized crystal structure of BiAsO2. The functional is GGA-PBEsol. Values from VASP.

Calculated values
VASP energy   -81.35 eV for the cell shown
Formation energy from raw total energies   -10.8 kJ per mole of atoms
Space group   Fm-3m
Offset from the most stable computed form   528.1 meV/atom
Magnetization   0.000 μB per atom

The structure in Quantum ESPRESSO input format:
```
&SYSTEM
  ibrav = 0, nat = 16, ntyp = 3
/
ATOMIC_SPECIES
Bi 208.98 Bi.upf
As 74.92 As.upf
O 16.00 O.upf
CELL_PARAMETERS angstrom
6.044 0.000 0.000
0.000 6.044 0.000
0.000 0.000 6.044
ATOMIC_POSITIONS crystal
Bi 0.000 0.000 0.000
Bi 0.000 0.500 0.500
Bi 0.500 0.000 0.500
Bi 0.500 0.500 0.000
As 0.000 0.000 0.500
As 0.000 0.500 0.000
As 0.500 0.000 0.000
As 0.500 0.500 0.500
O 0.250 0.250 0.250
O 0.250 0.250 0.750
O 0.250 0.750 0.250
O 0.250 0.750 0.750
O 0.750 0.250 0.250
O 0.750 0.250 0.750
O 0.750 0.750 0.250
O 0.750 0.750 0.750
```

[5]
This record from the Alexandria database describes an optimized crystal structure of BiAsO2. The functional is GGA-PBEsol. Values from VASP.

Calculated values
VASP energy   -67.35 eV for the cell shown
Formation energy from raw total energies   -61.7 kJ per mole of atoms
Space group   R-3m
Offset from the most stable computed form   0.0 meV/atom
Magnetization   0.000 μB per atom

The structure in Quantum ESPRESSO input format:
```
&SYSTEM
  ibrav = 0, nat = 12, ntyp = 3
/
ATOMIC_SPECIES
Bi 208.98 Bi.upf
As 74.92 As.upf
O 16.00 O.upf
CELL_PARAMETERS angstrom
3.484 0.000 0.000
-1.742 3.017 0.000
0.000 0.000 20.066
ATOMIC_POSITIONS crystal
Bi 0.000 0.000 0.000
Bi 0.333 0.667 0.667
Bi 0.667 0.333 0.333
As 0.000 0.000 0.500
As 0.333 0.667 0.167
As 0.667 0.333 0.833
O 0.000 0.000 0.396
O 0.000 0.000 0.604
O 0.333 0.667 0.063
O 0.333 0.667 0.271
O 0.667 0.333 0.729
O 0.667 0.333 0.937
```

[6]
This record from the Alexandria database describes an optimized crystal structure of Bi2AsO6. The functional is GGA-PBEsol. Values from VASP.

Calculated values
VASP energy   -221.76 eV for the cell shown
Formation energy from raw total energies   -110.1 kJ per mole of atoms
Space group   P2_1/c
Magnetization   0.000 μB per atom

The structure in Quantum ESPRESSO input format:
```
&SYSTEM
  ibrav = 0, nat = 36, ntyp = 3
/
ATOMIC_SPECIES
Bi 208.98 Bi.upf
As 74.92 As.upf
O 16.00 O.upf
CELL_PARAMETERS angstrom
7.066 0.000 0.000
0.000 6.948 0.000
-3.294 0.000 10.138
ATOMIC_POSITIONS crystal
Bi 0.098 0.128 0.318
Bi 0.098 0.372 0.818
Bi 0.243 0.595 0.523
Bi 0.243 0.905 0.023
Bi 0.757 0.095 0.977
Bi 0.757 0.405 0.477
Bi 0.902 0.628 0.182
Bi 0.902 0.872 0.682
As 0.372 0.072 0.675
As 0.372 0.428 0.175
As 0.628 0.572 0.825
As 0.628 0.928 0.325
O 0.008 0.570 0.619
O 0.008 0.930 0.119
O 0.062 0.703 0.861
O 0.062 0.797 0.361
O 0.212 0.622 0.129
O 0.212 0.878 0.629
O 0.316 0.223 0.542
O 0.316 0.277 0.042
O 0.336 0.142 0.821
O 0.336 0.358 0.321
O 0.381 0.516 0.773
O 0.381 0.984 0.273
O 0.619 0.016 0.727
O 0.619 0.484 0.227
O 0.664 0.642 0.679
O 0.664 0.858 0.179
O 0.684 0.723 0.958
O 0.684 0.777 0.458
O 0.788 0.122 0.371
O 0.788 0.378 0.871
O 0.938 0.203 0.639
O 0.938 0.297 0.139
O 0.992 0.070 0.881
O 0.992 0.430 0.381
```

[7]
This record from the Alexandria database describes an optimized crystal structure of BiAsO4. The functional is GGA-PBEsol. Values from VASP.

Calculated values
VASP energy   -76.72 eV for the cell shown
Formation energy from raw total energies   -128.2 kJ per mole of atoms
Space group   I4_1/a
Magnetization   0.000 μB per atom

The structure in Quantum ESPRESSO input format:
```
&SYSTEM
  ibrav = 0, nat = 12, ntyp = 3
/
ATOMIC_SPECIES
Bi 208.98 Bi.upf
As 74.92 As.upf
O 16.00 O.upf
CELL_PARAMETERS angstrom
-2.551 2.551 5.812
2.551 -2.551 5.812
2.551 2.551 -5.812
ATOMIC_POSITIONS crystal
Bi 0.375 0.125 0.250
Bi 0.625 0.875 0.750
As 0.125 0.375 0.750
As 0.875 0.625 0.250
O 0.060 0.207 0.359
O 0.201 0.560 0.353
O 0.293 0.152 0.853
O 0.348 0.701 0.141
O 0.652 0.299 0.859
O 0.707 0.848 0.147
O 0.799 0.440 0.647
O 0.940 0.793 0.641
```

[8]
This record from the Alexandria database describes an optimized crystal structure of BiAsP2O. The functional is GGA-PBEsol. Values from VASP.

Calculated values
VASP energy   -25.57 eV for the cell shown
Formation energy from raw total energies   12.6 kJ per mole of atoms
Space group   P4/mmm
Magnetization   0.000 μB per atom

The structure in Quantum ESPRESSO input format:
```
&SYSTEM
  ibrav = 0, nat = 5, ntyp = 4
/
ATOMIC_SPECIES
Bi 208.98 Bi.upf
As 74.92 As.upf
P 30.97 P.upf
O 16.00 O.upf
CELL_PARAMETERS angstrom
4.854 0.000 0.000
0.000 4.854 0.000
0.000 0.000 3.748
ATOMIC_POSITIONS crystal
Bi 0.000 0.000 0.000
As 0.500 0.500 0.500
P 0.000 0.500 0.500
P 0.500 0.000 0.500
O 0.500 0.500 0.000
```

[9]
This record from the Alexandria database describes an optimized crystal structure of BiAsPbO5. The functional is GGA-PBEsol. Values from VASP.

Calculated values
VASP energy   -99.88 eV for the cell shown
Formation energy from raw total energies   -124.3 kJ per mole of atoms
Space group   C2/m
Magnetization   0.000 μB per atom

The structure in Quantum ESPRESSO input format:
```
&SYSTEM
  ibrav = 0, nat = 16, ntyp = 4
/
ATOMIC_SPECIES
Bi 208.98 Bi.upf
As 74.92 As.upf
Pb 207.20 Pb.upf
O 16.00 O.upf
CELL_PARAMETERS angstrom
6.631 -2.750 0.000
6.631 2.750 0.000
-2.691 0.000 6.539
ATOMIC_POSITIONS crystal
Bi 0.014 0.014 0.256
Bi 0.986 0.986 0.744
As 0.338 0.338 0.351
As 0.662 0.662 0.649
Pb 0.338 0.338 0.876
Pb 0.662 0.662 0.124
O 0.107 0.609 0.224
O 0.202 0.202 0.311
O 0.237 0.763 0.000
O 0.391 0.893 0.776
O 0.418 0.418 0.605
O 0.582 0.582 0.395
O 0.609 0.107 0.224
O 0.763 0.237 0.000
O 0.798 0.798 0.689
O 0.893 0.391 0.776
```

[10]
This record from the Alexandria database describes an optimized crystal structure of Bi17As5Pb5O43. The functional is GGA-PBEsol. Values from VASP.

Calculated values
VASP energy   -432.00 eV for the cell shown
Formation energy from raw total energies   -121.2 kJ per mole of atoms
Space group   Cm
Magnetization   0.000 μB per atom

The structure in Quantum ESPRESSO input format:
```
&SYSTEM
  ibrav = 0, nat = 70, ntyp = 4
/
ATOMIC_SPECIES
Bi 208.98 Bi.upf
As 74.92 As.upf
Pb 207.20 Pb.upf
O 16.00 O.upf
CELL_PARAMETERS angstrom
8.076 -8.392 0.000
8.076 8.392 0.000
-7.913 0.000 8.355
ATOMIC_POSITIONS crystal
Bi 0.000 0.000 0.000
Bi 0.001 0.667 0.345
Bi 0.016 0.016 0.703
Bi 0.023 0.669 0.017
Bi 0.330 0.330 0.691
Bi 0.342 0.999 0.695
Bi 0.346 0.979 0.341
Bi 0.359 0.659 0.008
Bi 0.370 0.370 0.381
Bi 0.383 0.671 0.361
Bi 0.659 0.359 0.008
Bi 0.667 0.001 0.345
Bi 0.669 0.023 0.017
Bi 0.671 0.383 0.361
Bi 0.680 0.680 0.023
Bi 0.979 0.346 0.341
Bi 0.999 0.342 0.695
As 0.007 0.007 0.328
As 0.038 0.360 0.056
As 0.352 0.661 0.669
As 0.360 0.038 0.056
As 0.661 0.352 0.669
Pb 0.017 0.692 0.690
Pb 0.357 0.357 0.038
Pb 0.692 0.017 0.690
Pb 0.699 0.699 0.702
Pb 0.705 0.705 0.378
O 0.029 0.554 0.811
O 0.062 0.440 0.973
O 0.096 0.933 0.245
O 0.117 0.117 0.534
O 0.184 0.989 0.933
O 0.197 0.426 0.233
O 0.233 0.414 0.820
O 0.250 0.519 0.627
O 0.251 0.757 0.149
O 0.259 0.755 0.610
O 0.355 0.909 0.486
O 0.408 0.929 0.117
O 0.414 0.233 0.820
O 0.420 0.600 0.554
O 0.422 0.595 0.169
O 0.426 0.197 0.233
O 0.440 0.062 0.973
O 0.472 0.472 0.330
O 0.493 0.760 0.864
O 0.505 0.505 0.920
O 0.519 0.250 0.627
O 0.539 0.941 0.401
O 0.554 0.029 0.811
O 0.595 0.422 0.169
O 0.597 0.778 0.168
O 0.599 0.779 0.539
O 0.600 0.420 0.554
O 0.755 0.259 0.610
O 0.757 0.251 0.149
O 0.760 0.493 0.864
O 0.778 0.597 0.168
O 0.779 0.599 0.539
O 0.782 0.961 0.905
O 0.808 0.984 0.534
O 0.880 0.880 0.277
O 0.909 0.355 0.486
O 0.909 0.909 0.749
O 0.929 0.408 0.117
O 0.933 0.096 0.245
O 0.941 0.539 0.401
O 0.961 0.782 0.905
O 0.984 0.808 0.534
O 0.989 0.184 0.933
```

> magnetization of number 5 (BiAsO2)?

0.000 μB per atom

> Which formula does entry 1 have?

Bi2AsO